VASP calculation (PBE-GGA) on a relaxed structure of PrDy12Y2.

Output
**Mass density**: 7.64 g/cm³
**Formation energy**: 238.4 kJ/mol of formula units
**SG**: No. 67

```
30
Lattice="3.5400 -5.6354 0.0000 3.5400 5.6354 0.0000 0.0000 0.0000 24.7176" Properties=species:S:1:pos:R:3 pbc="T T T"
Pr 3.5400 2.8177 24.7118
Pr 3.5400 -2.8177 0.0059
Dy 3.5400 5.6300 2.0013
Dy 3.5400 -5.6300 22.7164
Dy 5.3067 -2.8177 3.2400
Dy 1.7733 2.8177 21.4777
Dy 1.8323 2.8177 10.2516
Dy 3.5400 5.5168 13.8823
Dy 1.7700 0.0000 4.9802
Dy 1.7700 0.0000 8.0984
Dy 1.7700 0.0000 16.6192
Dy 1.7700 0.0000 19.7375
Dy 3.5400 0.1186 13.8823
Dy 5.2477 2.8177 10.2516
Dy 1.7733 -2.8177 3.2400
Dy 5.3067 2.8177 21.4777
Dy 3.5400 0.0054 2.0013
Dy 3.5400 -0.0054 22.7164
Dy 1.8323 -2.8177 14.4661
Dy 3.5400 -0.1186 10.8353
Dy 5.3100 0.0000 4.9802
Dy 5.3100 0.0000 8.0984
Dy 5.3100 0.0000 16.6192
Dy 5.3100 0.0000 19.7375
Dy 3.5400 -5.5168 10.8353
Dy 5.2477 -2.8177 14.4661
Y 3.5400 2.8177 6.6224
Y 3.5400 2.8177 18.0271
Y 3.5400 -2.8177 6.6905
Y 3.5400 -2.8177 18.0953
```

VASP calculation (PBE-GGA) on a relaxed structure of GdInPt.

Output
**Mass density**: 11.53 g/cm³
**Formation energy**: -287.7 kJ/mol of formula units
**SG**: No. 189

```
9
Lattice="7.7306 0.0000 0.0000 -3.8653 6.6949 0.0000 0.0000 0.0000 3.8985" Properties=species:S:1:pos:R:3 pbc="T T T"
Gd -2.2929 3.9714 0.0000
Gd 1.5724 2.7235 0.0000
Gd 4.5858 0.0000 0.0000
In -1.0032 1.7376 1.9493
In 2.0065 0.0000 1.9493
In 2.8621 4.9573 1.9493
Pt 0.0000 0.0000 0.0000
Pt 0.0000 4.4633 1.9493
Pt 3.8653 2.2316 1.9493
```

VASP calculation (PBE-GGA) on a relaxed structure of TaBeCu2.

Output
**Mass density**: 10.41 g/cm³
**Formation energy**: 53.4 kJ/mol of formula units
**SG**: No. 12

```
4
Lattice="4.8894 -1.3235 0.0000 4.8894 1.3235 0.0000 -1.9352 0.0000 3.9074" Properties=species:S:1:pos:R:3 pbc="T T T"
Ta 0.0000 0.0000 0.0000
Be 3.9218 0.0000 1.9537
Cu 0.7409 0.0000 2.8053
Cu 7.1027 0.0000 1.1020
```